No. 1
Material: TlFe3Br
Method: DFT, PBEsol
State: relaxed

Cell lengths 4.391, 4.391, 4.391 Å; angles 90.00, 90.00, 90.00 degrees
Space group Pm-3m (No. 221)
One atom of each set of equivalent atoms:
Tl  0.000  0.000  0.000 (multiplicity 1)
Fe  0.000  0.500  0.500 (multiplicity 3)
Br  0.500  0.500  0.500 (multiplicity 1)

Results
Formation energy from raw total energies (eV per formula unit): 5.3
Magnetic moment (Bohr magnetons per cell): 6.352
Raw total energy (eV per cell): -26.1
Volume (Å³/atom): 16.9

=====

No. 2
Material: TlFeBr
Method: DFT, PBEsol
State: relaxed

Cell lengths 6.481, 6.481, 6.481 Å; angles 90.00, 90.00, 90.00 degrees
Space group F-43m (No. 216)
One atom of each set of equivalent atoms:
Tl  0.000  0.000  0.000 (multiplicity 4)
Fe  0.250  0.250  0.750 (multiplicity 4)
Br  0.000  0.000  0.500 (multiplicity 4)

Results
Formation energy from raw total energies (eV per formula unit): 1.7
Magnetic moment (Bohr magnetons per cell): 10.320
Raw total energy (eV per cell): -47.0
Volume (Å³/atom): 22.7